(1)
VASP calculation (PBE) on ErCd2Ag3 after structural relaxation.

Computed properties:
E above lowest polymorph (kJ/mol of atoms): 6.0
Energy of formation from the pure elements (eV/f.u.): -0.6

a = 11.014 Å, b = 10.446 Å, c = 5.342 Å
α = 81.58°, β = 69.75°, γ = 28.67°
Fractional positions:
Er (0.146, 0.146, 0.854)
Er (0.854, 0.854, 0.146)
Cd (0.240, 0.760, 0.760)
Cd (0.250, 0.250, 0.250)
Cd (0.750, 0.750, 0.750)
Cd (0.760, 0.240, 0.240)
Ag (0.217, 0.601, 0.399)
Ag (0.296, 0.296, 0.704)
Ag (0.399, 0.783, 0.217)
Ag (0.601, 0.217, 0.783)
Ag (0.704, 0.704, 0.296)
Ag (0.783, 0.399, 0.601)

=====

(2)
VASP calculation (PBE) on NaTl2HgI5 after structural relaxation.

Computed properties:
Calculated total energy (eV for the cell shown): -40.170

a = 11.012 Å, b = 11.012 Å, c = 14.904 Å
α = 90.00°, β = 90.00°, γ = 155.71°
Fractional positions:
Na (0.204, 0.796, 0.500)
Na (0.796, 0.204, 0.000)
Tl (0.137, 0.863, 0.800)
Tl (0.139, 0.861, 0.149)
Tl (0.861, 0.139, 0.649)
Tl (0.863, 0.137, 0.300)
Hg (0.443, 0.557, 0.892)
Hg (0.557, 0.443, 0.392)
I (0.043, 0.957, 0.508)
I (0.296, 0.704, 0.146)
I (0.313, 0.687, 0.844)
I (0.351, 0.649, 0.482)
I (0.486, 0.514, 0.236)
I (0.514, 0.486, 0.736)
I (0.649, 0.351, 0.982)
I (0.687, 0.313, 0.344)
I (0.704, 0.296, 0.646)
I (0.957, 0.043, 0.008)

=====

(3)
VASP calculation (PBE) on CoSi2Hg after structural relaxation.

Computed properties:
Calculated total energy (eV for the cell shown): -17.426

a = 3.595 Å, b = 3.544 Å, c = 5.605 Å
α = 90.00°, β = 108.09°, γ = 90.00°
Fractional positions:
Co (0.000, 0.000, 0.000)
Si (0.127, 0.500, 0.265)
Si (0.624, 0.000, 0.256)
Hg (0.381, 0.500, 0.750)

=====

(4)
VASP calculation (PBE) on PaInN2O after structural relaxation.

Computed properties:
Calculated total energy (eV for the cell shown): -80.158

a = 5.591 Å, b = 5.591 Å, c = 7.620 Å
α = 90.00°, β = 90.00°, γ = 145.63°
Fractional positions:
Pa (0.241, 0.759, 0.750)
Pa (0.759, 0.241, 0.250)
In (0.000, 0.000, 0.000)
In (0.000, 0.000, 0.500)
N (0.355, 0.645, 0.070)
N (0.355, 0.645, 0.430)
N (0.645, 0.355, 0.570)
N (0.645, 0.355, 0.930)
O (0.111, 0.889, 0.250)
O (0.889, 0.111, 0.750)

=====

(5)
VASP calculation (PBE) on CaBeCl2 after structural relaxation.

Computed properties:
E above lowest polymorph (kJ/mol of atoms): 53.4

a = 7.020 Å, b = 7.020 Å, c = 7.020 Å
α = 130.58°, β = 130.58°, γ = 72.48°
Fractional positions:
Ca (0.000, 0.000, 0.000)
Ca (0.750, 0.250, 0.500)
Be (0.250, 0.750, 0.500)
Be (0.500, 0.500, 0.000)
Cl (0.230, 0.625, 0.105)
Cl (0.375, 0.480, 0.605)
Cl (0.520, 0.125, 0.895)
Cl (0.875, 0.770, 0.395)

=====

(6)
VASP calculation (PBE) on CsSn2Pd after structural relaxation.

Computed properties:
Energy of formation from the pure elements (eV/f.u.): 1.2

a = 5.382 Å, b = 5.382 Å, c = 5.382 Å
α = 60.00°, β = 60.00°, γ = 60.00°
Fractional positions:
Cs (0.000, 0.000, 0.000)
Sn (0.250, 0.250, 0.250)
Sn (0.750, 0.750, 0.750)
Pd (0.500, 0.500, 0.500)

=====

Which formula does entry 3 have?
CoSi2Hg